Entry 1:
## Ba2Tl4InPb2 (GGA-PBE)

Data for crystalline Ba2Tl4InPb2 at its relaxed geometry.

The space group is I4/mmm (139). For the formation enthalpy at 0 K, the calculation gives -0.25 eV/atom. The final energy is -2.86 eV per atom. The value obtained for the density of states at the Fermi level is 6.51 states/eV per cell. The total magnetic moment comes out at 0.000 μB per cell.

abc: 7.6824 7.6824 7.6824
angles: 88.52 120.86 120.86
Fractional coordinates of all 9 atoms:
Pb1 0.0000 0.2800 0.2800
Pb2 0.0000 0.7200 0.7200
In1 0.0000 0.0000 0.0000
Ba1 0.5000 0.7500 0.2500
Ba2 0.5000 0.2500 0.7500
Tl1 0.4266 0.7133 0.7133
Tl2 0.5734 0.2867 0.2867
Tl3 0.0000 0.7133 0.2867
Tl4 0.0000 0.2867 0.7133

---

Entry 2:
## Ca2Zn4SiGe3 (GGA-PBE)

Data for crystalline Ca2Zn4SiGe3 at its relaxed geometry.

The space group is P-4m2 (115). The uncorrected formation energy comes out at -0.30 eV/atom. The final energy is -3.14 eV per atom. The value obtained for the density of states at the Fermi level is 1.80 states/eV per cell. The total magnetic moment comes out at 0.000 μB per cell.

abc: 4.2556 4.2556 10.7109
angles: 90.00 90.00 90.00
Fractional coordinates of all 10 atoms:
Ge1 0.0000 0.0000 0.5000
Ge2 0.0000 0.5000 0.1380
Ge3 0.5000 0.0000 0.8620
Zn1 0.0000 0.5000 0.3671
Zn2 0.5000 0.0000 0.6329
Zn3 0.0000 0.0000 0.0000
Zn4 0.5000 0.5000 0.0000
Ca1 0.0000 0.5000 0.7475
Ca2 0.5000 0.0000 0.2525
Si1 0.5000 0.5000 0.5000